# Co5CuBr12 | Alexandria | GGA-PBE | optimized geometry
data_Co5CuBr12
_cell_length_a 6.3709
_cell_length_b 11.0419
_cell_length_c 13.6519
_cell_angle_alpha 90.00
_cell_angle_beta 90.17
_cell_angle_gamma 90.00
_symmetry_space_group_name_H-M 'C 1 2/m 1'
_symmetry_Int_Tables_number 12
_symmetry_space_group_name_Hall '-C 2y'
loop_
_atom_site_label
_atom_site_type_symbol
_atom_site_fract_x
_atom_site_fract_y
_atom_site_fract_z
Co1 Co 0.0000 0.0000 0.0000
Co2 Co 0.0000 0.1666 0.5000
Co3 Co 0.0000 0.3333 0.0000
Cu1 Cu 0.0000 0.5000 0.5000
Br1 Br 0.1438 0.0000 0.5995
Br2 Br 0.1661 0.1666 0.8936
Br3 Br 0.1660 0.5000 0.8935
Br4 Br 0.1792 0.3217 0.5994
# formation energy without anion corrections: -24 kJ/mol of atoms
# crystal system: monoclinic
# density: 4.555 Mg/m³
# Fermi-level density of states: 45.07 states/eV per cell
# DFT total energy: -3.56 eV per atom



# Co2CuBr | Alexandria | GGA-PBE | optimized geometry
data_Co2CuBr
_cell_length_a 2.9895
_cell_length_b 2.9895
_cell_length_c 22.4122
_cell_angle_alpha 90.00
_cell_angle_beta 90.00
_cell_angle_gamma 120.00
_symmetry_space_group_name_H-M 'R -3 m'
_symmetry_Int_Tables_number 166
_symmetry_space_group_name_Hall '-R 3 2"'
loop_
_atom_site_label
_atom_site_type_symbol
_atom_site_fract_x
_atom_site_fract_y
_atom_site_fract_z
Co1 Co 0.0000 0.0000 0.2473
Cu1 Cu 0.0000 0.0000 0.5000
Br1 Br 0.0000 0.0000 0.0000
# formation energy without anion corrections: 66 kJ/mol of atoms
# crystal system: trigonal
# density: 7.505 Mg/m³
# Fermi-level density of states: 20.33 states/eV per cell
# DFT total energy: -4.31 eV per atom



# CoCu3Br | Alexandria | GGA-PBE | optimized geometry
data_CoCu3Br
_cell_length_a 4.5242
_cell_length_b 4.5242
_cell_length_c 4.5242
_cell_angle_alpha 90.00
_cell_angle_beta 90.00
_cell_angle_gamma 90.00
_symmetry_space_group_name_H-M 'P m -3 m'
_symmetry_Int_Tables_number 221
_symmetry_space_group_name_Hall '-P 4 2 3'
loop_
_atom_site_label
_atom_site_type_symbol
_atom_site_fract_x
_atom_site_fract_y
_atom_site_fract_z
Co1 Co 0.0000 0.0000 0.0000
Cu1 Cu 0.0000 0.0000 0.5000
Br1 Br 0.5000 0.5000 0.5000
# formation energy without anion corrections: 91 kJ/mol of atoms
# crystal system: cubic
# density: 5.908 Mg/m³
# Fermi-level density of states: 6.45 states/eV per cell
# DFT total energy: -3.27 eV per atom



# Co2CuBr | Alexandria | GGA-PBE | optimized geometry
data_Co2CuBr
_cell_length_a 3.1361
_cell_length_b 3.2160
_cell_length_c 6.3353
_cell_angle_alpha 90.00
_cell_angle_beta 90.00
_cell_angle_gamma 90.00
_symmetry_space_group_name_H-M 'P m m m'
_symmetry_Int_Tables_number 47
_symmetry_space_group_name_Hall '-P 2 2'
loop_
_atom_site_label
_atom_site_type_symbol
_atom_site_fract_x
_atom_site_fract_y
_atom_site_fract_z
Co1 Co 0.0000 0.0000 0.1793
Cu1 Cu 0.5000 0.5000 0.0000
Br1 Br 0.5000 0.0000 0.5000
# formation energy without anion corrections: 45 kJ/mol of atoms
# crystal system: orthorhombic
# density: 6.791 Mg/m³
# Fermi-level density of states: 4.49 states/eV per cell
# DFT total energy: -4.53 eV per atom



# Co2CuBr | Alexandria | GGA-PBE | optimized geometry
data_Co2CuBr
_cell_length_a 6.0879
_cell_length_b 6.0879
_cell_length_c 6.0879
_cell_angle_alpha 90.00
_cell_angle_beta 90.00
_cell_angle_gamma 90.00
_symmetry_space_group_name_H-M 'F -4 3 m'
_symmetry_Int_Tables_number 216
_symmetry_space_group_name_Hall 'F -4 2 3'
loop_
_atom_site_label
_atom_site_type_symbol
_atom_site_fract_x
_atom_site_fract_y
_atom_site_fract_z
Co1 Co 0.0000 0.0000 0.0000
Co2 Co 0.2500 0.2500 0.2500
Cu1 Cu 0.2500 0.2500 0.7500
Br1 Br 0.0000 0.0000 0.5000
# formation energy without anion corrections: 78 kJ/mol of atoms
# crystal system: cubic
# density: 7.693 Mg/m³
# Fermi-level density of states: 18.99 states/eV per cell
# DFT total energy: -4.18 eV per atom



# Co2CuBr | Alexandria | GGA-PBE | optimized geometry
data_Co2CuBr
_cell_length_a 5.1316
_cell_length_b 8.9619
_cell_length_c 3.1206
_cell_angle_alpha 90.00
_cell_angle_beta 126.35
_cell_angle_gamma 90.00
_symmetry_space_group_name_H-M 'C 1 2/m 1'
_symmetry_Int_Tables_number 12
_symmetry_space_group_name_Hall '-C 2y'
loop_
_atom_site_label
_atom_site_type_symbol
_atom_site_fract_x
_atom_site_fract_y
_atom_site_fract_z
Co1 Co 0.2500 0.2500 0.0000
Cu1 Cu 0.0000 0.0000 0.5000
Br1 Br 0.0000 0.5000 0.5000
# formation energy without anion corrections: 76 kJ/mol of atoms
# crystal system: monoclinic
# density: 7.509 Mg/m³
# Fermi-level density of states: 10.62 states/eV per cell
# DFT total energy: -4.21 eV per atom



# Co2CuBr | Alexandria | GGA-PBE | optimized geometry
data_Co2CuBr
_cell_length_a 3.4688
_cell_length_b 3.4688
_cell_length_c 18.5974
_cell_angle_alpha 90.00
_cell_angle_beta 90.00
_cell_angle_gamma 120.00
_symmetry_space_group_name_H-M 'R 3 m'
_symmetry_Int_Tables_number 160
_symmetry_space_group_name_Hall 'R 3 -2"'
loop_
_atom_site_label
_atom_site_type_symbol
_atom_site_fract_x
_atom_site_fract_y
_atom_site_fract_z
Co1 Co 0.0000 0.0000 0.0000
Co2 Co 0.0000 0.0000 0.2790
Cu1 Cu 0.0000 0.0000 0.7427
Br1 Br 0.0000 0.0000 0.5122
# formation energy without anion corrections: 47 kJ/mol of atoms
# crystal system: trigonal
# density: 6.717 Mg/m³
# Fermi-level density of states: 6.38 states/eV per cell
# DFT total energy: -4.50 eV per atom



# Co2CuBr | Alexandria | GGA-PBE | optimized geometry
data_Co2CuBr
_cell_length_a 3.7470
_cell_length_b 3.7470
_cell_length_c 3.9756
_cell_angle_alpha 90.00
_cell_angle_beta 90.00
_cell_angle_gamma 90.00
_symmetry_space_group_name_H-M 'P 4/m m m'
_symmetry_Int_Tables_number 123
_symmetry_space_group_name_Hall '-P 4 2'
loop_
_atom_site_label
_atom_site_type_symbol
_atom_site_fract_x
_atom_site_fract_y
_atom_site_fract_z
Co1 Co 0.0000 0.5000 0.0000
Cu1 Cu 0.0000 0.0000 0.5000
Br1 Br 0.5000 0.5000 0.5000
# formation energy without anion corrections: 74 kJ/mol of atoms
# crystal system: tetragonal
# density: 7.774 Mg/m³
# Fermi-level density of states: 5.54 states/eV per cell
# DFT total energy: -4.22 eV per atom



> Which of these has the highest formation energy without anion corrections?

CoCu3Br



> Number 2 is which compound?

Co2CuBr